Pm2Mg3Cd5 | Alexandria | PBE | relaxed; space group = No. 72; electronic total energy = -2.05 eV/atom
1.0
-6.287 6.305 3.163
6.287 -6.305 3.163
6.287 6.305 -3.163
Pm Mg Cd
4 6 10
Direct
0.125 0.244 0.368 Pm
0.375 0.744 0.119 Pm
0.625 0.256 0.881 Pm
0.875 0.756 0.632 Pm
0.126 0.865 0.991 Mg
0.250 0.750 0.500 Mg
0.374 0.365 0.738 Mg
0.626 0.635 0.262 Mg
0.750 0.250 0.500 Mg
0.874 0.135 0.009 Mg
0.007 0.750 0.257 Cd
0.122 0.650 0.772 Cd
0.250 0.250 0.000 Cd
0.378 0.150 0.528 Cd
0.493 0.750 0.743 Cd
0.507 0.250 0.257 Cd
0.622 0.850 0.472 Cd
0.750 0.750 0.000 Cd
0.878 0.350 0.228 Cd
0.993 0.250 0.743 Cd